Record 1
A relaxed structure of Sc2AlIr3. Source: Alexandria via LeMat-Bulk, functional PBE.

total magnetic moment = 0.0 μB/f.u.
calculated formation energy = -977 meV per atom

Unit cell a=7.0499 b=7.0499 c=3.1632 alpha=90.00 beta=90.00 gamma=143.02
Fractional positions:
Sc 0.1648 0.8352 0.0000
Sc 0.8352 0.1648 0.0000
Al 0.5000 0.5000 0.0000
Ir 0.0000 0.0000 0.5000
Ir 0.3395 0.6605 0.5000
Ir 0.6605 0.3395 0.5000

=====

Record 2
A relaxed structure of Ca2TlIn. Source: Alexandria via LeMat-Bulk, functional PBE.

total magnetic moment = 0.0 μB/f.u.
calculated formation energy = -125 meV per atom

Unit cell a=7.0589 b=7.0589 c=7.0589 alpha=104.85 beta=104.85 gamma=119.17
Fractional positions:
Ca 0.1229 0.6250 0.9979
Ca 0.3750 0.3729 0.4979
Ca 0.6271 0.1250 0.0021
Ca 0.8750 0.8771 0.5021
Tl 0.0000 0.0000 0.0000
Tl 0.7500 0.2500 0.5000
In 0.2500 0.7500 0.5000
In 0.5000 0.5000 0.0000

=====

Record 3
A relaxed structure of ScV3Pt. Source: Alexandria via LeMat-Bulk, functional PBE.

total magnetic moment = 0.0 μB/f.u.
calculated formation energy = 1460 meV per atom

Unit cell a=4.3245 b=4.3245 c=4.3245 alpha=90.00 beta=90.00 gamma=90.00
Fractional positions:
Sc 0.0000 0.0000 0.0000
V 0.0000 0.0000 0.5000
V 0.0000 0.5000 0.0000
V 0.5000 0.0000 0.0000
Pt 0.5000 0.5000 0.5000

=====

Record 4
A relaxed structure of YCr2P. Source: Alexandria via LeMat-Bulk, functional PBE.

total magnetic moment = 0.0 μB/f.u.
calculated formation energy = -38 meV per atom

Unit cell a=3.9895 b=3.9895 c=4.3656 alpha=90.00 beta=90.00 gamma=96.41
Fractional positions:
Y 0.0000 0.0000 0.0000
Cr 0.3371 0.6629 0.5000
Cr 0.6629 0.3371 0.5000
P 0.5000 0.5000 0.0000

=====

Record 5
A relaxed structure of Ac2InBiAu6. Source: Alexandria via LeMat-Bulk, functional PBE.

total magnetic moment = 0.0 μB/f.u.
calculated formation energy = -146 meV per atom

Unit cell a=7.4911 b=7.4911 c=7.4911 alpha=60.00 beta=60.00 gamma=60.00
Fractional positions:
Ac 0.2500 0.2500 0.2500
Ac 0.7500 0.7500 0.7500
In 0.0000 0.0000 0.0000
Bi 0.5000 0.5000 0.5000
Au 0.2451 0.2451 0.7549
Au 0.2451 0.7549 0.2451
Au 0.2451 0.7549 0.7549
Au 0.7549 0.2451 0.2451
Au 0.7549 0.2451 0.7549
Au 0.7549 0.7549 0.2451

=====

Record 6
A relaxed structure of ScOs4. Source: Alexandria via LeMat-Bulk, functional PBE.

total magnetic moment = 0.0 μB/f.u.
energy above the lowest structure with this stoichiometry = 89 meV/atom
calculated formation energy = 171 meV per atom

Unit cell a=6.1501 b=6.1501 c=6.1501 alpha=141.85 beta=141.85 gamma=55.05
Fractional positions:
Sc 0.0000 0.0000 0.0000
Os 0.2500 0.7500 0.5000
Os 0.3925 0.3925 0.0000
Os 0.6075 0.6075 0.0000
Os 0.7500 0.2500 0.5000

=====

Record 7
A relaxed structure of Sc4Tl2HgAu. Source: Alexandria via LeMat-Bulk, functional PBE.

total magnetic moment = 0.8 μB/f.u.
calculated formation energy = -429 meV per atom

Unit cell a=8.6420 b=8.6420 c=8.6420 alpha=33.62 beta=33.62 gamma=33.62
Fractional positions:
Sc 0.1219 0.1219 0.1219
Sc 0.3724 0.3724 0.3724
Sc 0.6276 0.6276 0.6276
Sc 0.8781 0.8781 0.8781
Tl 0.2485 0.2485 0.2485
Tl 0.7515 0.7515 0.7515
Hg 0.5000 0.5000 0.5000
Au 0.0000 0.0000 0.0000

=====

Record 8
A relaxed structure of Li3YAu. Source: Alexandria via LeMat-Bulk, functional PBE.

total magnetic moment = 0.0 μB/f.u.
energy above the lowest structure with this stoichiometry = 0 meV/atom
calculated formation energy = -276 meV per atom

Unit cell a=5.1492 b=5.1492 c=6.5243 alpha=127.74 beta=127.74 gamma=50.34
Fractional positions:
Li 0.0000 0.0000 0.0000
Li 0.3767 0.3767 0.2419
Li 0.6125 0.6125 0.8785
Y 0.1765 0.1765 0.5904
Au 0.7872 0.7872 0.4214

=====

Record 9
A relaxed structure of CsYPb2. Source: Alexandria via LeMat-Bulk, functional PBE.

total magnetic moment = 0.0 μB/f.u.
energy above the lowest structure with this stoichiometry = 176 meV/atom
calculated formation energy = -154 meV per atom

Unit cell a=11.5936 b=11.5936 c=11.5936 alpha=19.08 beta=19.08 gamma=19.08
Fractional positions:
Cs 0.0000 0.0000 0.0000
Y 0.5000 0.5000 0.5000
Pb 0.2394 0.2394 0.2394
Pb 0.7606 0.7606 0.7606

=====

Record 10
A relaxed structure of AlInPb2. Source: Alexandria via LeMat-Bulk, functional PBE.

total magnetic moment = 0.0 μB/f.u.
energy above the lowest structure with this stoichiometry = 14 meV/atom
calculated formation energy = 145 meV per atom

Unit cell a=6.2650 b=6.2650 c=5.6809 alpha=109.26 beta=109.26 gamma=31.39
Fractional positions:
Al 0.0000 0.0000 0.0000
In 0.2947 0.2947 0.6957
Pb 0.5324 0.5324 0.5054
Pb 0.7363 0.7363 0.1530

=====

Record 11
A relaxed structure of Sm12Ho6In. Source: Alexandria via LeMat-Bulk, functional PBE.

total magnetic moment = 0.0 μB/f.u.
energy above the lowest structure with this stoichiometry = 0 meV/atom
calculated formation energy = 67 meV per atom

Unit cell a=8.5554 b=8.5554 c=8.5554 alpha=88.71 beta=88.71 gamma=88.71
Fractional positions:
Sm 0.0382 0.9324 0.2833
Sm 0.0676 0.7167 0.9618
Sm 0.1374 0.4853 0.3182
Sm 0.2833 0.0382 0.9324
Sm 0.3182 0.1374 0.4853
Sm 0.4853 0.3182 0.1374
Sm 0.5147 0.6818 0.8626
Sm 0.6818 0.8626 0.5147
Sm 0.7167 0.9618 0.0676
Sm 0.8626 0.5147 0.6818
Sm 0.9324 0.2833 0.0382
Sm 0.9618 0.0676 0.7167
Ho 0.2112 0.7564 0.5987
Ho 0.2436 0.4013 0.7888
Ho 0.4013 0.7888 0.2436
Ho 0.5987 0.2112 0.7564
Ho 0.7564 0.5987 0.2112
Ho 0.7888 0.2436 0.4013
In 0.5000 0.5000 0.5000

=====

Record 12
A relaxed structure of CeNd2Tl3S6. Source: Alexandria via LeMat-Bulk, functional PBE.

total magnetic moment = 1.0 μB/f.u.
raw formation energy = -1434 meV per atom

Unit cell a=7.2609 b=7.2609 c=7.8691 alpha=98.85 beta=98.85 gamma=120.00
Fractional positions:
Ce 0.0000 0.0000 0.0000
Nd 0.3334 0.6666 0.0000
Nd 0.6666 0.3334 0.0000
Tl 0.1670 0.8330 0.5000
Tl 0.5000 0.5000 0.5000
Tl 0.8330 0.1670 0.5000
S 0.0678 0.4004 0.2035
S 0.2648 0.2648 0.7966
S 0.4004 0.0678 0.2035
S 0.5996 0.9322 0.7965
S 0.7352 0.7352 0.2034
S 0.9322 0.5996 0.7965

=====

Record 13
A relaxed structure of YIrRu2. Source: Alexandria via LeMat-Bulk, functional PBE.

total magnetic moment = 0.0 μB/f.u.
energy above the lowest structure with this stoichiometry = 30 meV/atom
calculated formation energy = 18 meV per atom

Unit cell a=2.9250 b=2.9250 c=7.8437 alpha=90.00 beta=90.00 gamma=90.00
Fractional positions:
Y 0.0000 0.0000 0.0000
Ir 0.5000 0.5000 0.2803
Ru 0.0000 0.0000 0.5052
Ru 0.5000 0.5000 0.7132

=====

Record 14
A relaxed structure of RbNbTeBr. Source: Alexandria via LeMat-Bulk, functional PBE.

total magnetic moment = 2.7 μB/f.u.
energy above the lowest structure with this stoichiometry = 17 meV/atom
raw formation energy = -493 meV per atom

Unit cell a=8.9572 b=8.9572 c=8.9572 alpha=155.20 beta=155.20 gamma=35.35
Fractional positions:
Rb 0.0000 0.0000 0.0000
Nb 0.2294 0.2294 0.0000
Te 0.6677 0.6677 0.0000
Br 0.3872 0.3872 0.0000

=====

Record 15
A relaxed structure of ScPtSe2. Source: Alexandria via LeMat-Bulk, functional PBE.

total magnetic moment = 0.0 μB/f.u.
energy above the lowest structure with this stoichiometry = 233 meV/atom
raw formation energy = -765 meV per atom

Unit cell a=4.5229 b=4.5229 c=3.4891 alpha=90.00 beta=90.00 gamma=90.00
Fractional positions:
Sc 0.0000 0.0000 0.0000
Pt 0.5000 0.5000 0.0000
Se 0.0000 0.5000 0.5000
Se 0.5000 0.0000 0.5000

=====

Record 16
A relaxed structure of Zr2RhSe. Source: Alexandria via LeMat-Bulk, functional PBE.

total magnetic moment = 1.5 μB/f.u.
raw formation energy = -59 meV per atom

Unit cell a=4.7420 b=4.7420 c=4.7420 alpha=60.00 beta=60.00 gamma=60.00
Fractional positions:
Zr 0.0000 0.0000 0.0000
Zr 0.2500 0.2500 0.2500
Rh 0.7500 0.7500 0.7500
Se 0.5000 0.5000 0.5000

=====

Record 17
A relaxed structure of Mn2TlHgBr8. Source: Alexandria via LeMat-Bulk, functional PBE.

total magnetic moment = 9.0 μB/f.u.
raw formation energy = -612 meV per atom

Unit cell a=7.2082 b=7.3869 c=8.2590 alpha=89.13 beta=84.40 gamma=85.25
Fractional positions:
Mn 0.0684 0.2442 0.0444
Mn 0.9316 0.7558 0.9556
Tl 0.5000 0.0000 0.5000
Hg 0.5000 0.5000 0.5000
Br 0.1081 0.0092 0.8066
Br 0.1853 0.4998 0.8578
Br 0.2425 0.6895 0.3931
Br 0.3464 0.2090 0.1918
Br 0.6536 0.7910 0.8082
Br 0.7575 0.3105 0.6069
Br 0.8147 0.5002 0.1422
Br 0.8919 0.9908 0.1934

=====

Record 18
A relaxed structure of Rb2TiNbI6. Source: Alexandria via LeMat-Bulk, functional PBE.

total magnetic moment = 3.3 μB/f.u.
raw formation energy = -657 meV per atom

Unit cell a=8.1916 b=8.1916 c=8.1916 alpha=60.00 beta=60.00 gamma=60.00
Fractional positions:
Rb 0.2500 0.2500 0.2500
Rb 0.7500 0.7500 0.7500
Ti 0.0000 0.0000 0.0000
Nb 0.5000 0.5000 0.5000
I 0.2477 0.2477 0.7523
I 0.2477 0.7523 0.2477
I 0.2477 0.7523 0.7523
I 0.7523 0.2477 0.2477
I 0.7523 0.2477 0.7523
I 0.7523 0.7523 0.2477

=====

Record 19
A relaxed structure of HfTc2HIr. Source: Alexandria via LeMat-Bulk, functional PBE.

total magnetic moment = 0.0 μB/f.u.
energy above the lowest structure with this stoichiometry = 0 meV/atom

Unit cell a=3.9324 b=3.9324 c=4.2481 alpha=90.00 beta=90.00 gamma=90.00
Fractional positions:
Hf 0.0000 0.0000 0.0000
Tc 0.0000 0.5000 0.5000
Tc 0.5000 0.0000 0.5000
H 0.0000 0.0000 0.5000
Ir 0.5000 0.5000 0.0000

=====

Record 20
A relaxed structure of LiCdCl2. Source: Alexandria via LeMat-Bulk, functional PBE.

total magnetic moment = 0.0 μB/f.u.
energy above the lowest structure with this stoichiometry = 85 meV/atom
raw formation energy = -975 meV per atom

Unit cell a=3.7675 b=3.7675 c=7.8629 alpha=90.00 beta=90.00 gamma=122.65
Fractional positions:
Li 0.0000 0.0000 0.0000
Cd 0.0000 0.0000 0.5000
Cl 0.5000 0.5000 0.2110
Cl 0.5000 0.5000 0.7890